## Cs2PmUS6 (PBE)

Data for Cs2PmUS6 after structural relaxation.

Results
- Energy: -5.61 eV per atom
- Volume: 30.7 Å³ per atom
- Total moment: 0.00 μB per cell
- Uncorrected formation energy: -1.356 eV per atom

abc: 7.571 7.568 10.703
angles: 90.00 90.00 90.00
Fractional positions:
S (0.738, 0.012, 0.500)
S (0.262, 0.012, 0.500)
S (0.738, 0.488, 0.500)
S (0.762, 0.512, 0.000)
S (0.500, 0.249, 0.262)
S (0.238, 0.988, 0.000)
S (0.000, 0.751, 0.762)
S (0.000, 0.751, 0.238)
S (0.238, 0.512, 0.000)
S (0.762, 0.988, 0.000)
S (0.500, 0.249, 0.738)
S (0.262, 0.488, 0.500)
Cs (0.500, 0.750, 0.250)
Cs (0.500, 0.750, 0.750)
Cs (0.000, 0.250, 0.250)
Cs (0.000, 0.250, 0.750)
U (0.500, 0.250, 0.500)
U (0.000, 0.750, 0.000)
Pm (0.000, 0.750, 0.500)
Pm (0.500, 0.250, 0.000)